Record 1
VASP calculation (PBE-GGA) on crystalline Tc2NiGe at its relaxed geometry.

a b c (Å): 3.8514 3.7717 3.7717
angles (deg): 90.00 90.00 90.00
Last column: nearest neighbours and their distance in Å.
Atoms (fractional coordinates):
1 Ni 0.5000 0.5000 0.5000  4 Ge 2.67, 8 Tc 2.70
2 Ge 0.5000 0.0000 0.0000  4 Ni 2.67, 8 Tc 2.70
3 Tc 0.0000 0.0000 0.5000  4 Tc 2.67, 4 Ge 2.70, 4 Ni 2.70
4 Tc 0.0000 0.5000 0.0000  4 Tc 2.67, 4 Ge 2.70, 4 Ni 2.70

Computed properties:
Its density of states at the Fermi level is 5.19 states/eV/f.u. For the energy relative to the elements, the calculation gives 40 kJ/mol of formula units.

Record 2
VASP calculation (PBE-GGA) on crystalline Sb3PRu at its relaxed geometry.

a b c (Å): 4.9946 4.9946 4.9946
angles (deg): 90.00 90.00 90.00
Last column: nearest neighbours and their distance in Å.
Atoms (fractional coordinates):
1 Sb 0.0000 0.5000 0.0000  2 P 2.50
2 Sb 0.0000 0.0000 0.5000  2 P 2.50
3 Sb 0.5000 0.0000 0.0000  2 P 2.50
4 P 0.0000 0.0000 0.0000  6 Sb 2.50
5 Ru 0.5000 0.5000 0.5000  12 Sb 3.53

Computed properties:
The energy above the most stable polymorph in this dataset comes out at 240 kJ/mol of formula units. Its density of states at the Fermi level is 5.78 states/eV/f.u. For the uncorrected formation energy, the calculation gives 1.1465 eV/atom.

Record 3
VASP calculation (PBE-GGA) on crystalline Nd4Dy3Ho at its relaxed geometry.

a b c (Å): 3.4994 6.8303 11.9409
angles (deg): 106.43 98.43 90.00
Last column: nearest neighbours and their distance in Å.
Atoms (fractional coordinates):
1 Nd 0.7404 0.2353 0.4808  7 Nd 3.50-3.80, 3 Dy 3.56-3.58
2 Nd 0.2596 0.7647 0.5192  7 Nd 3.50-3.80, 3 Dy 3.56-3.58
3 Nd 0.1235 0.3687 0.2469  3 Dy 3.29-3.51, 5 Nd 3.50-3.60
4 Nd 0.8765 0.6313 0.7531  3 Dy 3.29-3.51, 5 Nd 3.50-3.60
5 Ho 0.5000 0.0000 0.0000  2 Ho 3.50, 8 Dy 3.66-3.84, 4 Nd 3.70
6 Dy 0.0000 0.5000 0.0000  2 Nd 3.29, 4 Dy 3.29-3.50
7 Dy 0.1222 0.8816 0.2445  3 Dy 3.29-3.50, 5 Nd 3.32-3.58, 2 Ho 3.66
8 Dy 0.8778 0.1184 0.7555  3 Dy 3.29-3.50, 5 Nd 3.32-3.58, 2 Ho 3.66

Computed properties:
The energy above the most stable polymorph in this dataset comes out at 106 kJ/mol of formula units. Its density of states at the Fermi level is 13.64 states/eV/f.u. For the energy relative to the elements, the calculation gives 128 kJ/mol of formula units.

Record 4
VASP calculation (PBE-GGA) on crystalline NpPa5Se6 at its relaxed geometry.

a b c (Å): 6.9601 6.9794 7.2128
angles (deg): 61.06 79.84 68.62
Last column: nearest neighbours and their distance in Å.
Atoms (fractional coordinates):
1 Np 0.0000 0.0000 0.0000  6 Se 2.86-2.87
2 Pa 0.5000 0.1666 0.6667  6 Se 2.88-2.89
3 Pa 0.0000 0.3330 0.3341  6 Se 2.88
4 Pa 0.5000 0.5000 0.0000  6 Se 2.88-2.89
5 Pa 0.0000 0.6670 0.6659  6 Se 2.88
6 Pa 0.5000 0.8334 0.3333  6 Se 2.88-2.89
7 Se 0.7514 0.0830 0.3316  1 Np 2.86, 5 Pa 2.88-2.89
8 Se 0.2486 0.5854 0.3316  1 Np 2.86, 5 Pa 2.88-2.89
9 Se 0.2487 0.2491 0.0000  1 Np 2.87, 5 Pa 2.88-2.89
10 Se 0.7513 0.7509 0.0000  1 Np 2.87, 5 Pa 2.88-2.89
11 Se 0.7514 0.4146 0.6684  1 Np 2.86, 5 Pa 2.88-2.89
12 Se 0.2486 0.9170 0.6684  1 Np 2.86, 5 Pa 2.88-2.89

Computed properties:
Its density of states at the Fermi level is 22.89 states/eV/f.u. For the uncorrected formation energy, the calculation gives -1.1859 eV/atom.

| no. | spin magnetization (μB per cell) | E (eV per atom) | volume (Å³/atom) |
| --- | --- | --- | --- |
| 1 | 0.00 | -7.68 | 13.70 |
| 2 | 0.00 | -4.26 | 24.92 |
| 3 | 0.00 | -4.52 | 33.82 |
| 4 | 6.55 | -7.96 | 23.80 |